Entry 1:
{"formula": "SrSICl2", "functional": "PBE-GGA", "state": "relaxed", "cell": [[5.384, 0.000, 0.000], [0.000, 5.384, 0.000], [0.000, 0.000, 5.757]], "species": ["Sr", "S", "I", "Cl", "Cl"], "fractional_positions": [[0.000, 0.000, 0.000], [0.500, 0.500, 0.000], [0.500, 0.500, 0.500], [0.000, 0.500, 0.500], [0.500, 0.000, 0.500]], "relative_energy_mev_per_atom": 157, "raw_formation_energy_ev_per_atom": -0.51}

=====

Entry 2:
{"formula": "SrSICl2", "functional": "PBE-GGA", "state": "relaxed", "cell": [[5.606, 0.000, 0.000], [0.000, 5.606, 0.000], [0.000, 0.000, 6.157]], "species": ["Sr", "S", "I", "Cl", "Cl"], "fractional_positions": [[0.000, 0.000, 0.000], [0.000, 0.000, 0.500], [0.500, 0.500, 0.500], [0.000, 0.500, 0.000], [0.500, 0.000, 0.000]], "relative_energy_mev_per_atom": 0, "raw_formation_energy_ev_per_atom": -0.67}

=====

Entry 3:
{"formula": "TaS2ICl", "functional": "PBE-GGA", "state": "relaxed", "cell": [[4.859, 0.000, 0.000], [0.000, 4.859, 0.000], [0.000, 0.000, 4.923]], "species": ["Ta", "S", "S", "I", "Cl"], "fractional_positions": [[0.000, 0.000, 0.000], [0.000, 0.500, 0.000], [0.500, 0.000, 0.000], [0.500, 0.500, 0.500], [0.000, 0.000, 0.500]], "relative_energy_mev_per_atom": 0, "raw_formation_energy_ev_per_atom": -0.27}

=====

Entry 4:
{"formula": "TaS2ICl", "functional": "PBE-GGA", "state": "relaxed", "cell": [[5.135, 0.000, 0.000], [0.000, 5.135, 0.000], [0.000, 0.000, 5.195]], "species": ["Ta", "S", "S", "I", "Cl"], "fractional_positions": [[0.000, 0.000, 0.000], [0.000, 0.500, 0.500], [0.500, 0.000, 0.500], [0.500, 0.500, 0.500], [0.500, 0.500, 0.000]], "relative_energy_mev_per_atom": 1766, "raw_formation_energy_ev_per_atom": 1.50}

=====

Entry 5:
{"formula": "TcSICl2", "functional": "PBE-GGA", "state": "relaxed", "cell": [[4.876, 0.000, 0.000], [0.000, 4.876, 0.000], [0.000, 0.000, 4.645]], "species": ["Tc", "S", "I", "Cl", "Cl"], "fractional_positions": [[0.000, 0.000, 0.000], [0.000, 0.000, 0.500], [0.500, 0.500, 0.500], [0.000, 0.500, 0.000], [0.500, 0.000, 0.000]], "relative_energy_mev_per_atom": 0, "raw_formation_energy_ev_per_atom": 0.08}

=====

Entry 6:
{"formula": "TcSICl2", "functional": "PBE-GGA", "state": "relaxed", "cell": [[5.455, 0.000, 0.000], [0.000, 5.455, 0.000], [0.000, 0.000, 5.196]], "species": ["Tc", "S", "I", "Cl", "Cl"], "fractional_positions": [[0.000, 0.000, 0.000], [0.500, 0.500, 0.000], [0.500, 0.500, 0.500], [0.000, 0.500, 0.500], [0.500, 0.000, 0.500]], "relative_energy_mev_per_atom": 1040, "raw_formation_energy_ev_per_atom": 1.12}

=====

Entry 7:
{"formula": "TeS2ICl", "functional": "PBE-GGA", "state": "relaxed", "cell": [[5.223, 0.000, 0.000], [0.000, 5.223, 0.000], [0.000, 0.000, 5.178]], "species": ["Te", "S", "S", "I", "Cl"], "fractional_positions": [[0.000, 0.000, 0.000], [0.000, 0.500, 0.000], [0.500, 0.000, 0.000], [0.500, 0.500, 0.500], [0.000, 0.000, 0.500]], "relative_energy_mev_per_atom": 0, "raw_formation_energy_ev_per_atom": 0.43}

=====

Entry 8:
{"formula": "TeSI2Cl", "functional": "PBE-GGA", "state": "relaxed", "cell": [[5.418, 0.000, 0.000], [0.000, 5.418, 0.000], [0.000, 0.000, 5.453]], "species": ["Te", "S", "I", "I", "Cl"], "fractional_positions": [[0.000, 0.000, 0.000], [0.000, 0.000, 0.500], [0.000, 0.500, 0.500], [0.500, 0.000, 0.500], [0.500, 0.500, 0.000]], "relative_energy_mev_per_atom": 0, "raw_formation_energy_ev_per_atom": 0.48}